# 1
This record from the Alexandria database describes an optimized crystal structure of Be2AgAu. The functional is PBEsol.

Lattice parameters (Å, degrees): 4.1197 4.1197 4.1197 60.00 60.00 60.00
Fractional coordinates of all 4 atoms:
Be (0.2500, 0.2500, 0.2500)
Be (0.7500, 0.7500, 0.7500)
Ag (0.0000, 0.0000, 0.0000)
Au (0.5000, 0.5000, 0.5000)

Properties
- Crystal system: cubic
- Offset from the most stable computed form: 0.0 meV/atom
- Energy: -15.5 eV/cell
- Total moment: 0.0000 μB per atom
- Calculated volume: 49.4 Å³ per cell



# 2
This record from the Alexandria database describes an optimized crystal structure of BeAgAu. The functional is PBEsol.

Lattice parameters (Å, degrees): 5.2889 5.2889 5.2889 147.95 147.95 45.96
Fractional coordinates of all 3 atoms:
Be (0.0000, 0.0000, 0.0000)
Ag (0.6565, 0.6565, 0.0000)
Au (0.3673, 0.3673, 0.0000)

Properties
- Crystal system: tetragonal
- Offset from the most stable computed form: 0.0 meV/atom
- Energy: -11.5 eV/cell
- Total moment: 0.0000 μB per atom
- Calculated volume: 41.5 Å³ per cell